Material: Dy5Hg2Pd12
Method: DFT, PBE-GGA
State: optimized geometry

a b c (Å): 8.8191 8.8191 9.6616
angles (deg): 114.57 114.57 36.98
Fractional coordinates of all 19 atoms:
Dy1 0.0000 0.0000 0.0000
Dy2 0.3161 0.3161 0.1239
Dy3 0.3443 0.3443 0.6278
Dy4 0.6557 0.6557 0.3722
Dy5 0.6839 0.6839 0.8761
Hg1 0.2494 0.7506 0.5000
Hg2 0.7506 0.2494 0.5000
Pd1 0.0522 0.5746 0.3696
Pd2 0.0928 0.5914 0.8912
Pd3 0.1126 0.1126 0.8184
Pd4 0.4086 0.9072 0.1088
Pd5 0.4254 0.9478 0.6304
Pd6 0.4894 0.4894 0.1312
Pd7 0.5105 0.5105 0.8688
Pd8 0.5746 0.0522 0.3696
Pd9 0.5914 0.0928 0.8912
Pd10 0.8874 0.8874 0.1816
Pd11 0.9072 0.4086 0.1088
Pd12 0.9478 0.4254 0.6304

Values from the calculation:
As for the space group: C2/m. As for the total energy: -5.033 eV/atom. The value obtained for the formation energy is -511 meV per atom. Its density is 10.181 g/cm3.